Compound: AcInRh
Source: Alexandria
Functional: PBE
Structure: optimized geometry

Its relative energy among the computed polymorphs is 0.00 eV/f.u. The total magnetic moment is 0.000 μB/cell. The calculation puts the density of states at the Fermi level at 0.649 states/eV per atom.

The space group is P2_1/m (No. 11) and the conventional cell measures 7.828, 4.344 and 13.263 Å, with angles of 90.00, 90.53 and 90.00 degrees. The inequivalent atoms are Ac at (0.039, 0.250, 0.126), Ac at (0.160, 0.250, 0.418), Ac at (0.456, 0.750, 0.787), In at (0.130, 0.250, 0.702), In at (0.361, 0.750, 0.041), In at (0.498, 0.750, 0.416), Rh at (0.244, 0.750, 0.253), Rh at (0.258, 0.250, 0.919) and Rh at (0.262, 0.750, 0.588).


Compound: Dy2Fe5C4
Source: Alexandria
Functional: PBE
Structure: optimized geometry

The total magnetic moment is 0.000 μB/cell. The calculation puts the density of states at the Fermi level at 0.355 states/eV per atom.

The space group is Fmmm (No. 69) and the conventional cell measures 4.972, 9.246 and 10.277 Å, with angles of 90.00, 90.00 and 90.00 degrees. The inequivalent atoms are Dy at (0.000, 0.000, 0.147), Fe at (0.000, 0.000, 0.500), Fe at (0.250, 0.250, 0.000), Fe at (0.250, 0.250, 0.250) and C at (0.000, 0.161, 0.369).


Calculated values (eV per atom) of formation energy for the records, taken in order: -0.675, -0.194.